DFT (GGA-PBE) results for a geometry-optimized ZrTa structure.

- total energy (eV/atom) = -10.13
- total magnetic moment (μB/f.u.) = 0.000
- energy of formation (meV/atom) = 71

CIF file:
```
data_ZrTa
_cell_length_a 3.397
_cell_length_b 3.397
_cell_length_c 7.164
_cell_angle_alpha 90.00
_cell_angle_beta 90.00
_cell_angle_gamma 90.00
_symmetry_space_group_name_H-M 'P 1'
_symmetry_Int_Tables_number 1
loop_
_symmetry_equiv_pos_as_xyz
'x,y,z'
loop_
_atom_site_label
_atom_site_fract_x
_atom_site_fract_y
_atom_site_fract_z
Zr1 0.250 0.250 0.144
Zr2 0.750 0.750 0.856
Ta1 0.250 0.250 0.601
Ta2 0.750 0.750 0.399
```